Below is a relaxed structure of Y2H2Pd, with properties calculated at the GGA-PBE level.

Unit cell a=6.7143 b=6.7143 c=6.7143 alpha=149.53 beta=149.53 gamma=43.62
With the nearest neighbours (Å) after each atom.
Fractional coordinates of all 5 atoms:
Pd: 0.0000 0.0000 0.0000  8 Y 3.06
H: 0.2500 0.7500 0.5000  4 Y 2.22
H: 0.7500 0.2500 0.5000  4 Y 2.22
Y: 0.6419 0.6419 0.0000  4 H 2.22
Y: 0.3581 0.3581 0.0000  4 H 2.22

Electronic total energy = -5.72 eV/atom
Magnetization = 0.02 Bohr magnetons per cell
Crystal system = tetragonal

***

Below is a relaxed structure of YH3Pd, with properties calculated at the GGA-PBE level.

Unit cell a=5.2175 b=5.2175 c=5.2175 alpha=60.00 beta=60.00 gamma=60.00
With the nearest neighbours (Å) after each atom.
Fractional coordinates of all 10 atoms:
H: 0.2502 0.7498 0.7498  2 Pd 1.84-1.85
H: 0.7498 0.2502 0.2502  2 Pd 1.84-1.85
H: 0.7498 0.7498 0.2502  2 Pd 1.84-1.85
H: 0.2502 0.2502 0.7498  2 Pd 1.84-1.85
H: 0.2502 0.7498 0.2502  2 Pd 1.84-1.85
H: 0.7498 0.2502 0.7498  2 Pd 1.84-1.85
Pd: 0.0000 0.0000 0.0000  6 H 1.85
Pd: 0.5000 0.5000 0.5000  6 H 1.84
Y: 0.2500 0.2500 0.2500  12 H 2.61
Y: 0.7500 0.7500 0.7500  12 H 2.61

Electronic total energy = -4.82 eV/atom
Magnetization = 0.00 Bohr magnetons per cell
Crystal system = cubic

***

Below is a relaxed structure of YHPd3, with properties calculated at the GGA-PBE level.

Unit cell a=4.1569 b=4.1569 c=4.1569 alpha=90.00 beta=90.00 gamma=90.00
With the nearest neighbours (Å) after each atom.
Fractional coordinates of all 5 atoms:
Pd: 0.0000 0.5000 0.0000  2 H 2.08
Pd: 0.5000 0.0000 0.0000  2 H 2.08
Pd: 0.0000 0.0000 0.5000  2 H 2.08
H: 0.0000 0.0000 0.0000  6 Pd 2.08
Y: 0.5000 0.5000 0.5000  12 Pd 2.94

Electronic total energy = -5.77 eV/atom
Magnetization = 0.00 Bohr magnetons per cell
Crystal system = cubic

***

Below is a relaxed structure of YHPd3, with properties calculated at the GGA-PBE level.

Unit cell a=5.8857 b=5.8857 c=4.9109 alpha=90.00 beta=90.00 gamma=120.00
With the nearest neighbours (Å) after each atom.
Fractional coordinates of all 10 atoms:
Pd: 0.6873 0.8437 0.7500  1 H 1.80
Pd: 0.3127 0.1563 0.2500  1 H 1.80
Pd: 0.8437 0.1563 0.2500  1 H 1.80
Pd: 0.8437 0.6873 0.2500  1 H 1.80
Pd: 0.1563 0.3127 0.7500  1 H 1.80
Pd: 0.1563 0.8437 0.7500  1 H 1.80
Y: 0.3333 0.6667 0.2500  2 H 2.46
Y: 0.6667 0.3333 0.7500  2 H 2.46
H: 0.6667 0.3333 0.2500  3 Pd 1.80
H: 0.3333 0.6667 0.7500  3 Pd 1.80

Electronic total energy = -5.81 eV/atom
Magnetization = 0.00 Bohr magnetons per cell
Crystal system = hexagonal